[1]
VASP calculation (PBE-GGA) on a relaxed structure of K4Tl3Cd2.

## Properties
SG   No. 12
Energy of formation   -0.0712 eV/atom

Cell: 9.3156 9.3156 8.1203 Å, 105.82 105.82 32.23°
Last column: nearest neighbours and their distance in Å.
Fractional positions:
1 K 0.0885 0.0885 0.3903  2 Cd 3.42-3.79, 2 Tl 3.63
2 K 0.2734 0.2734 0.8205  3 Cd 3.68-3.80, 4 Tl 3.88-4.01, 1 K 4.07
3 K 0.7266 0.7266 0.1795  3 Cd 3.68-3.80, 4 Tl 3.88-4.01, 1 K 4.07
4 K 0.9115 0.9115 0.6097  2 Cd 3.42-3.79, 2 Tl 3.63
5 Tl 0.4051 0.4051 0.2918  2 Cd 3.15, 1 Tl 3.28
6 Tl 0.5000 0.5000 0.0000  4 Cd 3.16, 2 Tl 3.28
7 Tl 0.5949 0.5949 0.7082  2 Cd 3.15, 1 Tl 3.28
8 Cd 0.0858 0.0858 0.9221  4 Tl 3.15-3.16, 1 K 3.42
9 Cd 0.9142 0.9142 0.0779  4 Tl 3.15-3.16, 1 K 3.42


[2]
VASP calculation (PBE-GGA) on a relaxed structure of KTl3Cd.

## Properties
ΔE to the lowest computed polymorph   721.0 meV per atom
SG   No. 221
Energy of formation   0.6603 eV/atom

Cell: 6.2712 6.2712 6.2712 Å, 90.00 90.00 90.00°
Last column: nearest neighbours and their distance in Å.
Fractional positions:
1 K 0.0000 0.0000 0.0000  6 Tl 3.14
2 Tl 0.0000 0.0000 0.5000  2 K 3.14
3 Tl 0.0000 0.5000 0.0000  2 K 3.14
4 Tl 0.5000 0.0000 0.0000  2 K 3.14
5 Cd 0.5000 0.5000 0.5000  12 Tl 4.43


| no. | final energy (eV/atom) |
| --- | --- |
| 1 | -1.55 |
| 2 | -1.16 |